Computed, not measured: crystalline CrTcN3 at its relaxed geometry at the PBE level of DFT.

As for the density: 6.4 Mg/m³. The value obtained for the spin magnetization is 2.4 μB per formula unit. The formation energy from raw total energies comes out at 979 meV/atom.

The space group is Pm-3m (No. 221) and the conventional cell measures 3.684, 3.684 and 3.684 Å, with angles of 90.00, 90.00 and 90.00 degrees. Symmetry generates all atoms from Cr at (0.000, 0.000, 0.000), Tc at (0.500, 0.500, 0.500) and N at (0.000, 0.000, 0.500).

Computed, not measured: crystalline Ni4Sn2As at its relaxed geometry at the PBE level of DFT.

The final energy is -68.647 eV/cell. As for the density: 7.3 Mg/m³. The value obtained for the spin magnetization is 0.0 μB per formula unit.

The space group is I4/mmm (No. 139) and the conventional cell measures 4.353, 4.353 and 13.084 Å, with angles of 90.00, 90.00 and 90.00 degrees. Symmetry generates all atoms from Ni at (0.000, 0.000, 0.169), Ni at (0.000, 0.500, 0.000), Sn at (0.000, 0.000, 0.360) and As at (0.000, 0.000, 0.000).

Computed, not measured: crystalline La3Pr4Th2 at its relaxed geometry at the PBE level of DFT.

The final energy is -96.600 eV/cell. As for the density: 7.5 Mg/m³. The value obtained for the spin magnetization is 0.0 μB per formula unit.

The space group is P-1 (No. 2) and the conventional cell measures 7.396, 8.227 and 11.054 Å, with angles of 76.87, 89.74 and 76.87 degrees. Symmetry generates all atoms from La at (0.078, 0.183, 0.050), La at (0.260, 0.499, 0.496), La at (0.414, 0.837, 0.280), Pr at (0.082, 0.166, 0.723), Pr at (0.089, 0.166, 0.391), Pr at (0.250, 0.506, 0.833), Pr at (0.419, 0.821, 0.943), Th at (0.257, 0.494, 0.172) and Th at (0.425, 0.836, 0.611).